Entry 1:
# Nd2Tm5Sb4

A geometry-optimized Nd2Tm5Sb4 structure (PBE, the Alexandria database).

abc: 25.566 4.055 6.964
angles: 90.00 91.36 90.00
Space group C2/m (No. 12)
Symmetry-distinct sites (fractional):
Nd: 0.235 0.000 0.266 (multiplicity 4)
Tm: 0.000 0.500 0.500 (multiplicity 2)
Tm: 0.090 0.000 0.196 (multiplicity 4)
Tm: 0.142 0.000 0.687 (multiplicity 4)
Sb: 0.030 0.000 0.800 (multiplicity 4)
Sb: 0.166 0.500 0.008 (multiplicity 4)

Results
The value obtained for the energy relative to the elements, uncorrected is -42.99 kJ per mole of atoms. The calculation puts the total moment at 0.00 μB/f.u. As for the theoretical density: 7.5 g cm⁻³. For the total energy, the calculation gives -4.844 eV per atom.

=====

Entry 2:
# Nd4TmSb5

A geometry-optimized Nd4TmSb5 structure (PBE, the Alexandria database).

abc: 4.492 4.492 31.710
angles: 90.00 90.00 90.00
Space group I4/mmm (No. 139)
Symmetry-distinct sites (fractional):
Nd: 0.000 0.000 0.099 (multiplicity 4)
Nd: 0.000 0.000 0.301 (multiplicity 4)
Tm: 0.000 0.000 0.500 (multiplicity 2)
Sb: 0.000 0.000 0.000 (multiplicity 2)
Sb: 0.000 0.000 0.200 (multiplicity 4)
Sb: 0.000 0.000 0.402 (multiplicity 4)

Results
The value obtained for the energy relative to the elements, uncorrected is -111.45 kJ per mole of atoms. The calculation puts the total moment at 0.00 μB/f.u. As for the theoretical density: 7.0 g cm⁻³. For the total energy, the calculation gives -5.571 eV per atom.

=====

Entry 3:
# Nd2TmSb

A geometry-optimized Nd2TmSb structure (PBE, the Alexandria database).

abc: 4.849 4.849 4.911
angles: 90.00 90.00 90.00
Space group P4/mmm (No. 123)
Symmetry-distinct sites (fractional):
Nd: 0.000 0.500 0.000 (multiplicity 2)
Tm: 0.000 0.000 0.500 (multiplicity 1)
Sb: 0.500 0.500 0.500 (multiplicity 1)

Results
The value obtained for the energy relative to the elements, uncorrected is -48.58 kJ per mole of atoms. The calculation puts the total moment at 0.00 μB/f.u. As for the theoretical density: 8.3 g cm⁻³. As for the excess energy over the best structure of this formula in the dataset: 4 meV/atom. For the total energy, the calculation gives -5.036 eV per atom.

=====

Entry 4:
# Nd5Tm2Sb5

A geometry-optimized Nd5Tm2Sb5 structure (PBE, the Alexandria database).

abc: 14.650 4.448 12.787
angles: 90.00 110.91 90.00
Space group C2/m (No. 12)
Symmetry-distinct sites (fractional):
Nd: 0.000 0.000 0.000 (multiplicity 2)
Nd: 0.161 0.000 0.538 (multiplicity 4)
Nd: 0.227 0.000 0.847 (multiplicity 4)
Tm: 0.048 0.500 0.292 (multiplicity 4)
Sb: 0.000 0.500 0.500 (multiplicity 2)
Sb: 0.115 0.500 0.922 (multiplicity 4)
Sb: 0.186 0.000 0.286 (multiplicity 4)

Results
The value obtained for the energy relative to the elements, uncorrected is -86.63 kJ per mole of atoms. The calculation puts the total moment at 0.00 μB/f.u. As for the theoretical density: 7.1 g cm⁻³. For the total energy, the calculation gives -5.347 eV per atom.

=====

Entry 5:
# Nd2TmSb3

A geometry-optimized Nd2TmSb3 structure (PBE, the Alexandria database).

abc: 7.735 13.401 7.727
angles: 90.00 109.51 90.00
Space group C2/m (No. 12)
Symmetry-distinct sites (fractional):
Nd: 0.000 0.000 0.000 (multiplicity 2)
Nd: 0.000 0.164 0.500 (multiplicity 4)
Nd: 0.000 0.500 0.500 (multiplicity 2)
Tm: 0.000 0.332 0.000 (multiplicity 4)
Sb: 0.240 0.500 0.240 (multiplicity 4)
Sb: 0.249 0.330 0.757 (multiplicity 8)

Results
The value obtained for the energy relative to the elements, uncorrected is -109.97 kJ per mole of atoms. The calculation puts the total moment at 0.00 μB/f.u. As for the theoretical density: 7.2 g cm⁻³. As for the excess energy over the best structure of this formula in the dataset: 0 meV/atom. For the total energy, the calculation gives -5.536 eV per atom.

=====

Entry 6:
# NdTm4Sb2

A geometry-optimized NdTm4Sb2 structure (PBE, the Alexandria database).

abc: 5.254 5.254 16.273
angles: 90.00 90.00 90.00
Space group I4/mmm (No. 139)
Symmetry-distinct sites (fractional):
Nd: 0.000 0.000 0.000 (multiplicity 2)
Tm: 0.000 0.000 0.184 (multiplicity 4)
Tm: 0.000 0.500 0.000 (multiplicity 4)
Sb: 0.000 0.000 0.368 (multiplicity 4)

Results
The value obtained for the energy relative to the elements, uncorrected is 33.81 kJ per mole of atoms. The calculation puts the total moment at 0.00 μB/f.u. As for the theoretical density: 7.9 g cm⁻³. For the total energy, the calculation gives -4.064 eV per atom.

=====

Entry 7:
# Nd3TmSb2

A geometry-optimized Nd3TmSb2 structure (PBE, the Alexandria database).

abc: 7.211 14.478 7.965
angles: 90.00 90.00 90.00
Space group Ibam (No. 72)
Symmetry-distinct sites (fractional):
Nd: 0.000 0.000 0.250 (multiplicity 4)
Nd: 0.000 0.291 0.250 (multiplicity 8)
Tm: 0.000 0.500 0.000 (multiplicity 4)
Sb: 0.183 0.144 0.000 (multiplicity 8)

Results
The value obtained for the energy relative to the elements, uncorrected is -58.69 kJ per mole of atoms. The calculation puts the total moment at 0.00 μB/f.u. As for the theoretical density: 6.8 g cm⁻³. As for the excess energy over the best structure of this formula in the dataset: 213 meV/atom. For the total energy, the calculation gives -5.112 eV per atom.

=====

Entry 8:
# Nd5TmSb6

A geometry-optimized Nd5TmSb6 structure (PBE, the Alexandria database).

abc: 7.785 13.488 7.787
angles: 90.00 109.52 90.00
Space group C2/m (No. 12)
Symmetry-distinct sites (fractional):
Nd: 0.000 0.000 0.000 (multiplicity 2)
Nd: 0.000 0.166 0.500 (multiplicity 4)
Nd: 0.000 0.331 0.000 (multiplicity 4)
Tm: 0.000 0.500 0.500 (multiplicity 2)
Sb: 0.244 0.500 0.253 (multiplicity 4)
Sb: 0.245 0.337 0.745 (multiplicity 8)

Results
The value obtained for the energy relative to the elements, uncorrected is -112.14 kJ per mole of atoms. The calculation puts the total moment at 0.00 μB/f.u. As for the theoretical density: 7.0 g cm⁻³. For the total energy, the calculation gives -5.583 eV per atom.

=====

Entry 9:
# Nd3Tm2Sb3

A geometry-optimized Nd3Tm2Sb3 structure (PBE, the Alexandria database).

abc: 4.466 13.852 15.604
angles: 90.00 90.00 90.00
Space group Cmcm (No. 63)
Symmetry-distinct sites (fractional):
Nd: 0.000 0.049 0.117 (multiplicity 8)
Nd: 0.000 0.344 0.250 (multiplicity 4)
Tm: 0.000 0.234 0.590 (multiplicity 8)
Sb: 0.000 0.362 0.750 (multiplicity 4)
Sb: 0.000 0.396 0.040 (multiplicity 8)

Results
The value obtained for the energy relative to the elements, uncorrected is -78.72 kJ per mole of atoms. The calculation puts the total moment at 0.00 μB/f.u. As for the theoretical density: 7.8 g cm⁻³. For the total energy, the calculation gives -5.268 eV per atom.

=====

Entry 10:
# NdTmSb2

A geometry-optimized NdTmSb2 structure (PBE, the Alexandria database).

abc: 4.4168 4.4168 14.5879
angles: 90.00 90.00 120.00
Space group P6_3/mmc (No. 194)
Symmetry-distinct sites (fractional):
Nd: 0.3333 0.6667 0.2500 (multiplicity 2)
Tm: 0.0000 0.0000 0.0000 (multiplicity 2)
Sb: 0.3333 0.6667 0.6170 (multiplicity 4)

Results
The value obtained for the energy relative to the elements, uncorrected is -103.32 kJ per mole of atoms. The calculation puts the total moment at 0.00 μB/f.u. As for the theoretical density: 7.5 g cm⁻³. As for the excess energy over the best structure of this formula in the dataset: 52 meV/atom. For the total energy, the calculation gives -5.442 eV per atom.

=====

Entry 11:
# Nd5Tm2Sb4

A geometry-optimized Nd5Tm2Sb4 structure (PBE, the Alexandria database).

abc: 25.763 4.086 7.254
angles: 90.00 90.15 90.00
Space group C2/m (No. 12)
Symmetry-distinct sites (fractional):
Nd: 0.000 0.000 0.000 (multiplicity 2)
Nd: 0.142 0.500 0.821 (multiplicity 4)
Nd: 0.232 0.500 0.244 (multiplicity 4)
Tm: 0.090 0.500 0.322 (multiplicity 4)
Sb: 0.029 0.500 0.689 (multiplicity 4)
Sb: 0.168 0.000 0.495 (multiplicity 4)

Results
The value obtained for the energy relative to the elements, uncorrected is -45.27 kJ per mole of atoms. The calculation puts the total moment at 0.00 μB/f.u. As for the theoretical density: 6.7 g cm⁻³. For the total energy, the calculation gives -4.948 eV per atom.

=====

Entry 12:
# Nd2TmSb2

A geometry-optimized Nd2TmSb2 structure (PBE, the Alexandria database).

abc: 8.493 11.989 6.378
angles: 90.00 90.00 90.00
Space group Ibam (No. 72)
Symmetry-distinct sites (fractional):
Nd: 0.144 0.151 0.000 (multiplicity 8)
Tm: 0.000 0.500 0.250 (multiplicity 4)
Sb: 0.225 0.107 0.500 (multiplicity 8)

Results
The value obtained for the energy relative to the elements, uncorrected is -80.70 kJ per mole of atoms. The calculation puts the total moment at 0.11 μB/f.u. As for the theoretical density: 7.2 g cm⁻³. For the total energy, the calculation gives -5.287 eV per atom.

=====

Entry 13:
# Nd5TmSb4

A geometry-optimized Nd5TmSb4 structure (PBE, the Alexandria database).

abc: 19.124 4.389 8.650
angles: 90.00 104.93 90.00
Space group C2/m (No. 12)
Symmetry-distinct sites (fractional):
Nd: 0.000 0.000 0.000 (multiplicity 2)
Nd: 0.166 0.500 0.327 (multiplicity 4)
Nd: 0.173 0.500 0.848 (multiplicity 4)
Tm: 0.000 0.000 0.500 (multiplicity 2)
Sb: 0.005 0.500 0.746 (multiplicity 4)
Sb: 0.166 0.000 0.586 (multiplicity 4)

Results
The value obtained for the energy relative to the elements, uncorrected is -74.78 kJ per mole of atoms. The calculation puts the total moment at 0.00 μB/f.u. As for the theoretical density: 6.5 g cm⁻³. For the total energy, the calculation gives -5.255 eV per atom.

=====

Entry 14:
# NdTm3Sb2

A geometry-optimized NdTm3Sb2 structure (PBE, the Alexandria database).

abc: 18.282 4.304 9.651
angles: 90.00 113.30 90.00
Space group C2/m (No. 12)
Symmetry-distinct sites (fractional):
Nd: 0.111 0.000 0.122 (multiplicity 4)
Tm: 0.057 0.000 0.674 (multiplicity 4)
Tm: 0.141 0.500 0.477 (multiplicity 4)
Tm: 0.189 0.500 0.889 (multiplicity 4)
Sb: 0.013 0.500 0.845 (multiplicity 4)
Sb: 0.246 0.000 0.712 (multiplicity 4)

Results
The value obtained for the energy relative to the elements, uncorrected is -64.39 kJ per mole of atoms. The calculation puts the total moment at 0.00 μB/f.u. As for the theoretical density: 8.5 g cm⁻³. For the total energy, the calculation gives -5.072 eV per atom.

=====

Entry 15:
# Nd2TmSb3

A geometry-optimized Nd2TmSb3 structure (PBE, the Alexandria database).

abc: 4.465 6.321 13.377
angles: 90.00 90.00 90.00
Space group Immm (No. 71)
Symmetry-distinct sites (fractional):
Nd: 0.000 0.000 0.169 (multiplicity 4)
Tm: 0.000 0.000 0.500 (multiplicity 2)
Sb: 0.000 0.500 0.160 (multiplicity 4)
Sb: 0.000 0.500 0.500 (multiplicity 2)

Results
The value obtained for the energy relative to the elements, uncorrected is -109.66 kJ per mole of atoms. The calculation puts the total moment at 0.00 μB/f.u. As for the theoretical density: 7.2 g cm⁻³. As for the excess energy over the best structure of this formula in the dataset: 3 meV/atom. For the total energy, the calculation gives -5.532 eV per atom.

=====

Entry 16:
# Nd4TmSb5

A geometry-optimized Nd4TmSb5 structure (PBE, the Alexandria database).

abc: 10.036 10.036 6.354
angles: 90.00 90.00 90.00
Space group I4/m (No. 87)
Symmetry-distinct sites (fractional):
Nd: 0.097 0.301 0.000 (multiplicity 8)
Tm: 0.000 0.000 0.500 (multiplicity 2)
Sb: 0.000 0.000 0.000 (multiplicity 2)
Sb: 0.099 0.293 0.500 (multiplicity 8)

Results
The value obtained for the energy relative to the elements, uncorrected is -111.48 kJ per mole of atoms. The calculation puts the total moment at 0.00 μB/f.u. As for the theoretical density: 7.0 g cm⁻³. For the total energy, the calculation gives -5.571 eV per atom.

=====

Entry 17:
# Nd3Tm5Sb8

A geometry-optimized Nd3Tm5Sb8 structure (PBE, the Alexandria database).

abc: 8.8248 8.8248 21.5842
angles: 90.00 90.00 120.00
Space group R-3m (No. 166, hexagonal axes)
Symmetry-distinct sites (fractional):
Nd: 0.0000 0.5000 0.0000 (multiplicity 9)
Tm: 0.0000 0.0000 0.0000 (multiplicity 3)
Tm: 0.0000 0.0000 0.5000 (multiplicity 3)
Tm: 0.0000 0.5000 0.5000 (multiplicity 9)
Sb: 0.0000 0.0000 0.2458 (multiplicity 6)
Sb: 0.0056 0.5028 0.7528 (multiplicity 18)

Results
The value obtained for the energy relative to the elements, uncorrected is -106.54 kJ per mole of atoms. The calculation puts the total moment at 0.00 μB/f.u. As for the theoretical density: 7.7 g cm⁻³. For the total energy, the calculation gives -5.457 eV per atom.

=====

Entry 18:
# Nd2Tm2Sb5

A geometry-optimized Nd2Tm2Sb5 structure (PBE, the Alexandria database).

abc: 15.929 8.063 8.255
angles: 90.00 90.00 90.00
Space group Cmce (No. 64)
Symmetry-distinct sites (fractional):
Nd: 0.192 0.000 0.000 (multiplicity 8)
Tm: 0.000 0.155 0.340 (multiplicity 8)
Sb: 0.000 0.000 0.000 (multiplicity 4)
Sb: 0.134 0.146 0.645 (multiplicity 16)

Results
The value obtained for the energy relative to the elements, uncorrected is -81.63 kJ per mole of atoms. The calculation puts the total moment at 0.00 μB/f.u. As for the theoretical density: 7.7 g cm⁻³. For the total energy, the calculation gives -5.189 eV per atom.

=====

Entry 19:
# Nd3TmSb2

A geometry-optimized Nd3TmSb2 structure (PBE, the Alexandria database).

abc: 4.565 4.565 8.777
angles: 90.00 90.00 90.00
Space group P-4m2 (No. 115)
Symmetry-distinct sites (fractional):
Nd: 0.000 0.000 0.000 (multiplicity 1)
Nd: 0.000 0.500 0.646 (multiplicity 2)
Tm: 0.500 0.500 0.000 (multiplicity 1)
Sb: 0.000 0.500 0.275 (multiplicity 2)

Results
The value obtained for the energy relative to the elements, uncorrected is -79.22 kJ per mole of atoms. The calculation puts the total moment at 0.00 μB/f.u. As for the theoretical density: 7.7 g cm⁻³. As for the excess energy over the best structure of this formula in the dataset: 0 meV/atom. For the total energy, the calculation gives -5.324 eV per atom.

=====

Entry 20:
# Nd2TmSb

A geometry-optimized Nd2TmSb structure (PBE, the Alexandria database).

abc: 4.1260 4.1260 28.1036
angles: 90.00 90.00 120.00
Space group R-3m (No. 166, hexagonal axes)
Symmetry-distinct sites (fractional):
Nd: 0.0000 0.0000 0.2373 (multiplicity 6)
Tm: 0.0000 0.0000 0.0000 (multiplicity 3)
Sb: 0.0000 0.0000 0.5000 (multiplicity 3)

Results
The value obtained for the energy relative to the elements, uncorrected is -28.50 kJ per mole of atoms. The calculation puts the total moment at 0.00 μB/f.u. As for the theoretical density: 7.0 g cm⁻³. As for the excess energy over the best structure of this formula in the dataset: 213 meV/atom. For the total energy, the calculation gives -4.828 eV per atom.